PrEuCdSn | PBE | optimized geometry

Structure (CIF):
```
data_PrEuCdSn
_cell_length_a 7.803
_cell_length_b 7.803
_cell_length_c 7.803
_cell_angle_alpha 90.00
_cell_angle_beta 90.00
_cell_angle_gamma 90.00
_space_group_name_H-M_alt 'F -4 3 m'
_space_group_IT_number 216
_space_group_name_Hall 'F -4 2 3'
loop_
_atom_site_label
_atom_site_type_symbol
_atom_site_fract_x
_atom_site_fract_y
_atom_site_fract_z
Pr1 Pr 0.000 0.000 0.000
Eu1 Eu 0.000 0.000 0.500
Cd1 Cd 0.250 0.250 0.250
Sn1 Sn 0.250 0.250 0.750
```

As for the total magnetic moment: 7.747 μB/f.u. For the density, the calculation gives 7.33 Mg/m³.


TbPrEuCd | PBE | optimized geometry

Structure (CIF):
```
data_TbPrEuCd
_cell_length_a 7.920
_cell_length_b 7.920
_cell_length_c 7.920
_cell_angle_alpha 90.00
_cell_angle_beta 90.00
_cell_angle_gamma 90.00
_space_group_name_H-M_alt 'F -4 3 m'
_space_group_IT_number 216
_space_group_name_Hall 'F -4 2 3'
loop_
_atom_site_label
_atom_site_type_symbol
_atom_site_fract_x
_atom_site_fract_y
_atom_site_fract_z
Tb1 Tb 0.000 0.000 0.000
Pr1 Pr 0.000 0.000 0.500
Eu1 Eu 0.250 0.250 0.250
Cd1 Cd 0.250 0.250 0.750
```

As for the total magnetic moment: 7.219 μB/f.u. For the density, the calculation gives 7.54 Mg/m³.


PrEuTmCd | PBE | optimized geometry

Structure (CIF):
```
data_PrEuTmCd
_cell_length_a 7.936
_cell_length_b 7.936
_cell_length_c 7.936
_cell_angle_alpha 90.00
_cell_angle_beta 90.00
_cell_angle_gamma 90.00
_space_group_name_H-M_alt 'F -4 3 m'
_space_group_IT_number 216
_space_group_name_Hall 'F -4 2 3'
loop_
_atom_site_label
_atom_site_type_symbol
_atom_site_fract_x
_atom_site_fract_y
_atom_site_fract_z
Pr1 Pr 0.000 0.000 0.000
Eu1 Eu 0.000 0.000 0.500
Tm1 Tm 0.250 0.250 0.250
Cd1 Cd 0.250 0.250 0.750
```

As for the total magnetic moment: 7.190 μB/f.u. For the density, the calculation gives 7.63 Mg/m³.


PrEuYCd | PBE | optimized geometry

Structure (CIF):
```
data_PrEuYCd
_cell_length_a 7.924
_cell_length_b 7.924
_cell_length_c 7.924
_cell_angle_alpha 90.00
_cell_angle_beta 90.00
_cell_angle_gamma 90.00
_space_group_name_H-M_alt 'F -4 3 m'
_space_group_IT_number 216
_space_group_name_Hall 'F -4 2 3'
loop_
_atom_site_label
_atom_site_type_symbol
_atom_site_fract_x
_atom_site_fract_y
_atom_site_fract_z
Pr1 Pr 0.000 0.000 0.000
Eu1 Eu 0.250 0.250 0.750
Y1 Y 0.000 0.000 0.500
Cd1 Cd 0.250 0.250 0.250
```

As for the total magnetic moment: 7.262 μB/f.u. For the density, the calculation gives 6.60 Mg/m³.


PrEuZnCd | PBE | optimized geometry

Structure (CIF):
```
data_PrEuZnCd
_cell_length_a 7.646
_cell_length_b 7.646
_cell_length_c 7.646
_cell_angle_alpha 90.00
_cell_angle_beta 90.00
_cell_angle_gamma 90.00
_space_group_name_H-M_alt 'F -4 3 m'
_space_group_IT_number 216
_space_group_name_Hall 'F -4 2 3'
loop_
_atom_site_label
_atom_site_type_symbol
_atom_site_fract_x
_atom_site_fract_y
_atom_site_fract_z
Pr1 Pr 0.000 0.000 0.000
Eu1 Eu 0.000 0.000 0.500
Zn1 Zn 0.250 0.250 0.250
Cd1 Cd 0.250 0.250 0.750
```

As for the total magnetic moment: 7.073 μB/f.u. For the density, the calculation gives 7.00 Mg/m³.


EuCdPt2 | PBE | optimized geometry

Structure (CIF):
```
data_EuCdPt2
_cell_length_a 4.505
_cell_length_b 4.505
_cell_length_c 3.949
_cell_angle_alpha 90.00
_cell_angle_beta 90.00
_cell_angle_gamma 90.00
_space_group_name_H-M_alt 'P 4/m m m'
_space_group_IT_number 123
_space_group_name_Hall '-P 4 2'
loop_
_atom_site_label
_atom_site_type_symbol
_atom_site_fract_x
_atom_site_fract_y
_atom_site_fract_z
Eu1 Eu 0.000 0.000 0.000
Cd1 Cd 0.500 0.500 0.000
Pt1 Pt 0.000 0.500 0.500
```

As for the total magnetic moment: 6.830 μB/f.u. For the density, the calculation gives 13.56 Mg/m³.


Eu2CdPt | PBE | optimized geometry

Structure (CIF):
```
data_Eu2CdPt
_cell_length_a 3.726
_cell_length_b 3.726
_cell_length_c 7.641
_cell_angle_alpha 90.00
_cell_angle_beta 90.00
_cell_angle_gamma 90.00
_space_group_name_H-M_alt 'P 4/m m m'
_space_group_IT_number 123
_space_group_name_Hall '-P 4 2'
loop_
_atom_site_label
_atom_site_type_symbol
_atom_site_fract_x
_atom_site_fract_y
_atom_site_fract_z
Eu1 Eu 0.000 0.000 0.220
Cd1 Cd 0.500 0.500 0.500
Pt1 Pt 0.500 0.500 0.000
```

As for the total magnetic moment: 14.218 μB/f.u. For the density, the calculation gives 9.57 Mg/m³. For the energy above the most stable polymorph in this dataset, the calculation gives 0.00 eV/f.u.


Eu2CdPt | PBE | optimized geometry

Structure (CIF):
```
data_Eu2CdPt
_cell_length_a 4.1443
_cell_length_b 4.1443
_cell_length_c 30.5121
_cell_angle_alpha 90.00
_cell_angle_beta 90.00
_cell_angle_gamma 120.00
_space_group_name_H-M_alt 'R -3 m'
_space_group_IT_number 166
_space_group_name_Hall '-R 3 2"'
loop_
_atom_site_label
_atom_site_type_symbol
_atom_site_fract_x
_atom_site_fract_y
_atom_site_fract_z
Eu1 Eu 0.0000 0.0000 0.1127
Cd1 Cd 0.0000 0.0000 0.0000
Pt1 Pt 0.0000 0.0000 0.5000
```

As for the total magnetic moment: 14.380 μB/f.u. For the density, the calculation gives 6.71 Mg/m³. For the energy above the most stable polymorph in this dataset, the calculation gives 1.09 eV/f.u.


EuCd3Pt | PBE | optimized geometry

Structure (CIF):
```
data_EuCd3Pt
_cell_length_a 5.230
_cell_length_b 5.230
_cell_length_c 5.230
_cell_angle_alpha 90.00
_cell_angle_beta 90.00
_cell_angle_gamma 90.00
_space_group_name_H-M_alt 'P m -3 m'
_space_group_IT_number 221
_space_group_name_Hall '-P 4 2 3'
loop_
_atom_site_label
_atom_site_type_symbol
_atom_site_fract_x
_atom_site_fract_y
_atom_site_fract_z
Eu1 Eu 0.000 0.000 0.000
Cd1 Cd 0.000 0.500 0.500
Pt1 Pt 0.500 0.500 0.500
```

As for the total magnetic moment: 7.387 μB/f.u. For the density, the calculation gives 7.94 Mg/m³.


Eu2CdPt | PBE | optimized geometry

Structure (CIF):
```
data_Eu2CdPt
_cell_length_a 7.475
_cell_length_b 7.475
_cell_length_c 7.475
_cell_angle_alpha 90.00
_cell_angle_beta 90.00
_cell_angle_gamma 90.00
_space_group_name_H-M_alt 'F m -3 m'
_space_group_IT_number 225
_space_group_name_Hall '-F 4 2 3'
loop_
_atom_site_label
_atom_site_type_symbol
_atom_site_fract_x
_atom_site_fract_y
_atom_site_fract_z
Eu1 Eu 0.250 0.250 0.250
Cd1 Cd 0.000 0.000 0.000
Pt1 Pt 0.000 0.000 0.500
```

As for the total magnetic moment: 14.336 μB/f.u. For the density, the calculation gives 9.72 Mg/m³. For the energy above the most stable polymorph in this dataset, the calculation gives 0.26 eV/f.u.


EuCdPt2 | PBE | optimized geometry

Structure (CIF):
```
data_EuCdPt2
_cell_length_a 3.598
_cell_length_b 3.598
_cell_length_c 6.316
_cell_angle_alpha 90.00
_cell_angle_beta 90.00
_cell_angle_gamma 90.00
_space_group_name_H-M_alt 'P 4/m m m'
_space_group_IT_number 123
_space_group_name_Hall '-P 4 2'
loop_
_atom_site_label
_atom_site_type_symbol
_atom_site_fract_x
_atom_site_fract_y
_atom_site_fract_z
Eu1 Eu 0.000 0.000 0.000
Cd1 Cd 0.000 0.000 0.500
Pt1 Pt 0.500 0.500 0.276
```

As for the total magnetic moment: 6.826 μB/f.u. For the density, the calculation gives 13.30 Mg/m³.


EuPuCdPt | PBE | optimized geometry

Structure (CIF):
```
data_EuPuCdPt
_cell_length_a 7.364
_cell_length_b 7.364
_cell_length_c 7.364
_cell_angle_alpha 90.00
_cell_angle_beta 90.00
_cell_angle_gamma 90.00
_space_group_name_H-M_alt 'F -4 3 m'
_space_group_IT_number 216
_space_group_name_Hall 'F -4 2 3'
loop_
_atom_site_label
_atom_site_type_symbol
_atom_site_fract_x
_atom_site_fract_y
_atom_site_fract_z
Eu1 Eu 0.000 0.000 0.000
Pu1 Pu 0.000 0.000 0.500
Cd1 Cd 0.250 0.250 0.250
Pt1 Pt 0.250 0.250 0.750
```

As for the total magnetic moment: 12.706 μB/f.u. For the density, the calculation gives 11.70 Mg/m³.


EuCdPtRh | PBE | optimized geometry

Structure (CIF):
```
data_EuCdPtRh
_cell_length_a 6.800
_cell_length_b 6.800
_cell_length_c 6.800
_cell_angle_alpha 90.00
_cell_angle_beta 90.00
_cell_angle_gamma 90.00
_space_group_name_H-M_alt 'F -4 3 m'
_space_group_IT_number 216
_space_group_name_Hall 'F -4 2 3'
loop_
_atom_site_label
_atom_site_type_symbol
_atom_site_fract_x
_atom_site_fract_y
_atom_site_fract_z
Eu1 Eu 0.000 0.000 0.000
Cd1 Cd 0.000 0.000 0.500
Pt1 Pt 0.250 0.250 0.750
Rh1 Rh 0.250 0.250 0.250
```

As for the total magnetic moment: 6.716 μB/f.u. For the density, the calculation gives 11.88 Mg/m³.


SmEuCdPt | PBE | optimized geometry

Structure (CIF):
```
data_SmEuCdPt
_cell_length_a 7.391
_cell_length_b 7.391
_cell_length_c 7.391
_cell_angle_alpha 90.00
_cell_angle_beta 90.00
_cell_angle_gamma 90.00
_space_group_name_H-M_alt 'F -4 3 m'
_space_group_IT_number 216
_space_group_name_Hall 'F -4 2 3'
loop_
_atom_site_label
_atom_site_type_symbol
_atom_site_fract_x
_atom_site_fract_y
_atom_site_fract_z
Sm1 Sm 0.000 0.000 0.000
Eu1 Eu 0.000 0.000 0.500
Cd1 Cd 0.250 0.250 0.750
Pt1 Pt 0.250 0.250 0.250
```

As for the total magnetic moment: 6.949 μB/f.u. For the density, the calculation gives 10.03 Mg/m³.


EuThCdPt | PBE | optimized geometry

Structure (CIF):
```
data_EuThCdPt
_cell_length_a 7.445
_cell_length_b 7.445
_cell_length_c 7.445
_cell_angle_alpha 90.00
_cell_angle_beta 90.00
_cell_angle_gamma 90.00
_space_group_name_H-M_alt 'F -4 3 m'
_space_group_IT_number 216
_space_group_name_Hall 'F -4 2 3'
loop_
_atom_site_label
_atom_site_type_symbol
_atom_site_fract_x
_atom_site_fract_y
_atom_site_fract_z
Eu1 Eu 0.000 0.000 0.000
Th1 Th 0.000 0.000 0.500
Cd1 Cd 0.250 0.250 0.750
Pt1 Pt 0.250 0.250 0.250
```

As for the total magnetic moment: 7.153 μB/f.u. For the density, the calculation gives 11.13 Mg/m³.


EuTlCdPt | PBE | optimized geometry

Structure (CIF):
```
data_EuTlCdPt
_cell_length_a 7.220
_cell_length_b 7.220
_cell_length_c 7.220
_cell_angle_alpha 90.00
_cell_angle_beta 90.00
_cell_angle_gamma 90.00
_space_group_name_H-M_alt 'F -4 3 m'
_space_group_IT_number 216
_space_group_name_Hall 'F -4 2 3'
loop_
_atom_site_label
_atom_site_type_symbol
_atom_site_fract_x
_atom_site_fract_y
_atom_site_fract_z
Eu1 Eu 0.000 0.000 0.000
Tl1 Tl 0.250 0.250 0.750
Cd1 Cd 0.000 0.000 0.500
Pt1 Pt 0.250 0.250 0.250
```

As for the total magnetic moment: 6.826 μB/f.u. For the density, the calculation gives 11.72 Mg/m³.


EuTmCdPt | PBE | optimized geometry

Structure (CIF):
```
data_EuTmCdPt
_cell_length_a 7.265
_cell_length_b 7.265
_cell_length_c 7.265
_cell_angle_alpha 90.00
_cell_angle_beta 90.00
_cell_angle_gamma 90.00
_space_group_name_H-M_alt 'F -4 3 m'
_space_group_IT_number 216
_space_group_name_Hall 'F -4 2 3'
loop_
_atom_site_label
_atom_site_type_symbol
_atom_site_fract_x
_atom_site_fract_y
_atom_site_fract_z
Eu1 Eu 0.000 0.000 0.000
Tm1 Tm 0.000 0.000 0.500
Cd1 Cd 0.250 0.250 0.750
Pt1 Pt 0.250 0.250 0.250
```

As for the total magnetic moment: 6.935 μB/f.u. For the density, the calculation gives 10.88 Mg/m³.


EuYCdPt | PBE | optimized geometry

Structure (CIF):
```
data_EuYCdPt
_cell_length_a 7.324
_cell_length_b 7.324
_cell_length_c 7.324
_cell_angle_alpha 90.00
_cell_angle_beta 90.00
_cell_angle_gamma 90.00
_space_group_name_H-M_alt 'F -4 3 m'
_space_group_IT_number 216
_space_group_name_Hall 'F -4 2 3'
loop_
_atom_site_label
_atom_site_type_symbol
_atom_site_fract_x
_atom_site_fract_y
_atom_site_fract_z
Eu1 Eu 0.000 0.000 0.000
Y1 Y 0.000 0.000 0.500
Cd1 Cd 0.250 0.250 0.750
Pt1 Pt 0.250 0.250 0.250
```

As for the total magnetic moment: 6.958 μB/f.u. For the density, the calculation gives 9.27 Mg/m³.


EuPuCd2 | PBE | optimized geometry

Structure (CIF):
```
data_EuPuCd2
_cell_length_a 3.766
_cell_length_b 3.766
_cell_length_c 8.087
_cell_angle_alpha 90.00
_cell_angle_beta 90.00
_cell_angle_gamma 90.00
_space_group_name_H-M_alt 'P 4/m m m'
_space_group_IT_number 123
_space_group_name_Hall '-P 4 2'
loop_
_atom_site_label
_atom_site_type_symbol
_atom_site_fract_x
_atom_site_fract_y
_atom_site_fract_z
Eu1 Eu 0.000 0.000 0.000
Pu1 Pu 0.000 0.000 0.500
Cd1 Cd 0.500 0.500 0.259
```

As for the total magnetic moment: 1.206 μB/f.u. For the density, the calculation gives 8.99 Mg/m³. For the energy above the most stable polymorph in this dataset, the calculation gives 0.00 eV/f.u.


EuPuCd2 | PBE | optimized geometry

Structure (CIF):
```
data_EuPuCd2
_cell_length_a 3.5211
_cell_length_b 3.5211
_cell_length_c 32.2873
_cell_angle_alpha 90.00
_cell_angle_beta 90.00
_cell_angle_gamma 120.00
_space_group_name_H-M_alt 'R -3 m'
_space_group_IT_number 166
_space_group_name_Hall '-R 3 2"'
loop_
_atom_site_label
_atom_site_type_symbol
_atom_site_fract_x
_atom_site_fract_y
_atom_site_fract_z
Eu1 Eu 0.0000 0.0000 0.0000
Pu1 Pu 0.0000 0.0000 0.5000
Cd1 Cd 0.0000 0.0000 0.2489
```

As for the total magnetic moment: 13.553 μB/f.u. For the density, the calculation gives 8.92 Mg/m³. For the energy above the most stable polymorph in this dataset, the calculation gives 0.67 eV/f.u.


no.,formation enthalpy at 0 K (eV/atom)
1,-0.54
2,-0.02
3,-0.02
4,-0.03
5,-0.29
6,-0.55
7,-0.64
8,-0.37
9,-0.25
10,-0.58
11,-0.55
12,-0.39
13,-0.38
14,-0.62
15,-0.50
16,-0.36
17,-0.63
18,-0.63
19,-0.14
20,0.03